TlCuPdSe2, optimized geometry, DFT PBE; energy relative to the lowest polymorph listed for this composition = 0.0 kJ/mol of atoms; formation energy without anion corrections = -275 meV per atom
1.0
3.888 0.000 0.000
0.000 3.942 0.000
0.000 0.000 7.289
Tl Cu Pd Se
1 1 1 2
direct
0.000 0.000 0.000 Tl
0.000 0.500 0.500 Cu
0.500 0.000 0.500 Pd
0.500 0.500 0.276 Se
0.500 0.500 0.724 Se

TlCuPdSe3, optimized geometry, DFT PBE; formation energy without anion corrections = -228 meV per atom
1.0
1.932 -6.410 0.000
1.932 6.410 0.000
0.000 0.000 10.824
Tl Cu Pd Se
2 2 2 6
direct
0.227 0.773 0.750 Tl
0.773 0.227 0.250 Tl
0.092 0.908 0.250 Cu
0.908 0.092 0.750 Cu
0.500 0.500 0.000 Pd
0.500 0.500 0.500 Pd
0.127 0.873 0.031 Se
0.127 0.873 0.469 Se
0.473 0.527 0.250 Se
0.527 0.473 0.750 Se
0.873 0.127 0.531 Se
0.873 0.127 0.969 Se

Computed final energy, in the same sequence as the records: -3.999, -3.913 eV/atom.